# 1
VASP calculation (PBE-GGA) on crystalline Y2ErRh at its relaxed geometry.

```
4
Lattice="-2.471 1.023 2.273 1.916 -1.266 2.654 3.891 7.590 0.813" Properties=species:S:1:pos:R:3 pbc="T T T"
Er 1.668 3.673 2.869
Y 0.744 1.451 0.155
Y 3.147 6.139 0.657
Rh -0.277 -0.122 2.463
```

## Properties
distance to the lowest polymorph of the same formula	148	meV per atom
SG	No. 123
energy of formation from the pure elements	-0.38	eV/atom

---

# 2
VASP calculation (PBE-GGA) on crystalline YEr2Rh at its relaxed geometry.

```
4
Lattice="3.824 0.000 0.000 1.912 3.311 0.000 1.912 1.104 8.970" Properties=species:S:1:pos:R:3 pbc="T T T"
Y 3.824 2.208 4.444
Er 1.912 1.104 1.612
Er 1.912 1.104 7.383
Rh 3.824 2.208 0.018
```

## Properties
distance to the lowest polymorph of the same formula	182	meV per atom
SG	No. 160
energy of formation from the pure elements	-0.36	eV/atom

---

# 3
VASP calculation (PBE-GGA) on crystalline Y3ErRh at its relaxed geometry.

```
10
Lattice="3.718 0.000 0.611 1.806 5.998 0.624 -0.147 -0.586 12.513" Properties=species:S:1:pos:R:3 pbc="T T T"
Y 0.585 0.678 8.055
Y 2.930 0.057 5.402
Y 3.744 0.118 12.068
Y 4.023 3.810 10.372
Y 2.656 3.440 7.074
Y 3.362 5.633 2.777
Er 1.280 2.798 3.830
Er 1.684 2.727 12.987
Rh 2.121 1.679 10.325
Rh 3.448 1.823 2.252
```

## Properties
distance to the lowest polymorph of the same formula	0	meV per atom
SG	No. 8
energy of formation from the pure elements	-0.39	eV/atom

---

# 4
VASP calculation (PBE-GGA) on crystalline YEr2Rh at its relaxed geometry.

```
4
Lattice="3.599 0.000 0.000 1.799 3.117 0.000 1.799 1.039 10.457" Properties=species:S:1:pos:R:3 pbc="T T T"
Y 0.000 0.000 0.000
Rh 3.599 2.078 5.228
Er 5.398 3.117 3.465
Er 1.799 1.039 6.992
```

## Properties
distance to the lowest polymorph of the same formula	374	meV per atom
SG	No. 166
energy of formation from the pure elements	-0.17	eV/atom

---

# 5
VASP calculation (PBE-GGA) on crystalline Y2ErRh4 at its relaxed geometry.

```
7
Lattice="4.455 0.000 1.392 2.010 3.976 1.392 -0.104 -0.064 8.160" Properties=species:S:1:pos:R:3 pbc="T T T"
Rh 5.652 3.476 5.388
Rh 4.035 2.481 2.737
Rh 2.326 1.431 8.207
Rh 0.709 0.436 5.555
Er 0.000 0.000 0.000
Y 1.520 0.934 2.963
Y 4.842 2.978 7.981
```

## Properties
SG	No. 166
energy of formation from the pure elements	-0.53	eV/atom

---

# 6
VASP calculation (PBE-GGA) on crystalline Y3Er3Rh2 at its relaxed geometry.

```
16
Lattice="-1.869 -1.923 2.653 6.557 -0.287 1.730 -1.877 15.094 9.619" Properties=species:S:1:pos:R:3 pbc="T T T"
Rh 2.596 4.773 5.288
Rh 0.216 8.112 8.713
Rh 3.025 1.318 3.086
Rh -0.213 11.566 10.915
Y 3.856 -0.701 4.890
Y -0.444 8.761 6.038
Y 1.828 10.602 8.973
Y 3.256 4.123 7.963
Y -1.044 13.585 9.112
Y 0.984 2.282 5.029
Er 2.650 7.600 7.376
Er -1.657 10.207 8.913
Er 1.929 13.399 11.071
Er 0.162 5.284 6.626
Er 0.883 -0.515 2.930
Er 4.469 2.677 5.089
```

## Properties
SG	No. 63
energy of formation from the pure elements	-0.41	eV/atom

---

# 7
VASP calculation (PBE-GGA) on crystalline Y2ErRh at its relaxed geometry.

```
16
Lattice="6.341 0.000 0.000 0.000 7.160 0.000 0.000 0.000 9.461" Properties=species:S:1:pos:R:3 pbc="T T T"
Y 1.105 4.859 4.130
Y 5.236 2.301 5.331
Y 2.065 1.279 0.601
Y 4.276 5.882 8.861
Y 2.065 1.279 4.130
Y 5.236 2.301 8.861
Y 1.105 4.859 0.601
Y 4.276 5.882 5.331
Er 2.294 3.315 7.096
Er 5.464 0.265 2.365
Er 4.047 3.846 2.365
Er 0.877 6.895 7.096
Rh 0.280 2.747 2.365
Rh 2.891 6.327 2.365
Rh 3.450 0.833 7.096
Rh 6.061 4.414 7.096
```

## Properties
distance to the lowest polymorph of the same formula	0	meV per atom
SG	No. 62
energy of formation from the pure elements	-0.52	eV/atom

---

# 8
VASP calculation (PBE-GGA) on crystalline Y2ErRh at its relaxed geometry.

```
4
Lattice="3.599 0.000 0.000 1.799 3.117 0.000 1.799 1.039 10.520" Properties=species:S:1:pos:R:3 pbc="T T T"
Y 1.799 1.039 7.079
Y 5.398 3.117 3.440
Rh 3.599 2.078 5.260
Er 0.000 0.000 0.000
```

## Properties
distance to the lowest polymorph of the same formula	421	meV per atom
SG	No. 166
energy of formation from the pure elements	-0.10	eV/atom

---

# 9
VASP calculation (PBE-GGA) on crystalline Y4ErRh2 at its relaxed geometry.

```
14
Lattice="6.361 0.000 0.000 0.000 7.279 -3.005 0.000 -0.038 7.884" Properties=species:S:1:pos:R:3 pbc="T T T"
Er 4.771 1.159 -0.245
Er 1.590 6.081 5.124
Rh 1.590 4.533 2.777
Rh 4.771 5.470 -2.166
Rh 4.771 2.707 2.102
Rh 1.590 1.770 7.045
Y 1.590 7.125 1.918
Y 3.196 2.971 4.785
Y 1.590 1.778 1.898
Y 4.771 5.462 2.981
Y 6.346 2.971 4.785
Y 0.016 4.269 0.094
Y 3.165 4.269 0.094
Y 4.771 0.115 2.961
```

## Properties
SG	No. 11
energy of formation from the pure elements	-0.46	eV/atom

---

# 10
VASP calculation (PBE-GGA) on crystalline YEr4Rh5 at its relaxed geometry.

```
10
Lattice="-1.603 -2.723 -1.155 2.476 -0.516 -2.218 8.370 -9.865 11.641" Properties=species:S:1:pos:R:3 pbc="T T T"
Er 6.684 -7.878 9.297
Er 5.018 -5.914 6.979
Er 3.352 -3.951 4.662
Er 1.686 -1.987 2.345
Y 0.000 0.000 0.000
Rh 2.958 -4.591 1.820
Rh 7.942 -10.466 8.752
Rh 4.622 -6.552 4.134
Rh 1.302 -2.639 -0.484
Rh 6.286 -8.514 6.448
```

## Properties
SG	No. 123
energy of formation from the pure elements	-0.91	eV/atom

---

# 11
VASP calculation (PBE-GGA) on crystalline Y2ErRh3 at its relaxed geometry.

```
6
Lattice="3.425 0.000 0.000 0.000 3.425 0.000 0.000 0.000 10.261" Properties=species:S:1:pos:R:3 pbc="T T T"
Rh 0.000 0.000 6.794
Rh 0.000 0.000 0.000
Rh 0.000 0.000 3.466
Y 1.712 1.712 8.539
Y 1.712 1.712 1.722
Er 1.712 1.712 5.130
```

## Properties
distance to the lowest polymorph of the same formula	2	meV per atom
SG	No. 123
energy of formation from the pure elements	-0.87	eV/atom

---

# 12
VASP calculation (PBE-GGA) on crystalline YEr3Rh4 at its relaxed geometry.

```
16
Lattice="4.847 0.000 0.000 0.000 6.719 0.000 0.000 0.000 9.695" Properties=species:S:1:pos:R:3 pbc="T T T"
Rh 0.001 5.055 7.271
Rh 4.846 5.055 2.424
Rh 4.846 1.664 2.424
Rh 2.424 5.055 0.000
Rh 0.001 1.664 7.271
Rh 2.424 1.664 0.000
Rh 2.424 5.055 4.847
Rh 2.424 1.664 4.847
Er 2.424 3.359 7.271
Er 2.423 0.000 2.424
Er 0.000 0.000 4.847
Er 2.424 0.000 7.271
Er 2.423 3.359 2.424
Er 0.000 0.000 0.000
Y 0.000 3.359 0.000
Y 0.000 3.359 4.847
```

## Properties
SG	No. 123
energy of formation from the pure elements	-0.91	eV/atom

---

Question: Among the records above, which one has the highest energy of formation from the pure elements?
Answer: number 8